1.
Entry from the Alexandria database: a relaxed structure of Sr2ZrScGe (PBE-GGA).

Cell: 5.920 5.281 5.920 Å, 90.00 90.00 90.00°
Each line ends with the local moment (μB).
Element x y z (fractional)
1 Ge 0.000 0.000 0.000  -0.04
2 Sr 0.500 0.000 0.000  0.05
3 Sr 0.000 0.000 0.500  0.04
4 Zr 0.000 0.500 0.000  0.61
5 Sc 0.500 0.500 0.500  0.68

## Properties
V   37.0 Å³/atom
Energy of formation from the pure elements   0.339 eV/atom
Total moment   2.94 Bohr magnetons per cell

---

2.
Entry from the Alexandria database: a relaxed structure of DyMgZnSn (PBE-GGA).

Cell: 5.055 5.055 5.055 Å, 60.00 60.00 60.00°
Element x y z (fractional)
1 Dy 0.000 0.000 0.000
2 Mg 0.500 0.500 0.500
3 Zn 0.250 0.250 0.250
4 Sn 0.750 0.750 0.750

## Properties
V   22.8 Å³/atom
Energy of formation from the pure elements   -0.296 eV/atom
Total moment   0.00 Bohr magnetons per cell
Polymorph energy (0 for the lowest one)   121 meV per atom

---

3.
Entry from the Alexandria database: a relaxed structure of GaCoS (PBE-GGA).

Cell: 3.808 6.493 8.136 Å, 101.62 103.54 90.00°
Element x y z (fractional)
1 Ga 0.220 0.600 0.440
2 Co 0.647 0.119 0.295
3 Co 0.353 0.881 0.705
4 Co 0.633 0.508 0.266
5 Ga 0.249 0.130 0.497
6 Ga 0.751 0.870 0.503
7 S 0.087 0.273 0.173
8 S 0.416 0.209 0.832
9 Co 0.367 0.492 0.734
10 Ga 0.780 0.400 0.560
11 S 0.913 0.727 0.827
12 S 0.584 0.791 0.168

## Properties
V   15.9 Å³/atom
Total moment   0.00 Bohr magnetons per cell

---

4.
Entry from the Alexandria database: a relaxed structure of NaCaNdGa (PBE-GGA).

Cell: 5.406 5.406 5.406 Å, 60.00 60.00 60.00°
Element x y z (fractional)
1 Nd 0.000 0.000 0.000
2 Na 0.750 0.750 0.750
3 Ga 0.250 0.250 0.250
4 Ca 0.500 0.500 0.500

## Properties
V   27.9 Å³/atom
Energy of formation from the pure elements   -0.159 eV/atom
Total moment   0.00 Bohr magnetons per cell

---

The calculation returns the following VASP energy values, one per record and in order: -4.23; -3.16; -4.85; -2.94 eV per atom.
The calculation returns the following density of states at the Fermi level values, one per record and in order: 1.09; 0.68; 0.65; 0.78 states/eV per atom.